VASP calculation (GGA-PBE) on an optimized crystal structure of CaNiH2W.

The structure in POSCAR format:
```
CaNiH2W
1.0
-1.863 3.104 0.048
-4.730 -2.809 -1.924
-1.002 -0.654 3.418
Ni W Ca H
1 1 1 2
Cartesian
-3.797 -0.179 0.771 Ni
0.000 0.000 0.000 W
-2.365 -1.405 -0.962 Ca
-0.932 1.552 0.024 H
-0.501 -0.327 1.709 H
```

Computed properties:
Fermi-level density of states = 4.54 states/eV/cell
final energy = -4.327 eV/atom
symmetry = P4/mmm (123)
magnetization = 0.001 μB per formula unit